(A)
Material: Ni2C
Method: DFT, PBE-GGA
State: optimized geometry

Calculated values
- SG = No. 225

Structure (extended XYZ):
```
3
Lattice="-1.804 -0.355 -2.847 -1.042 -3.075 -0.973 -3.288 -0.807 0.167" Properties=species:S:1:pos:R:3 pbc="T T T"
Ni -4.600 -3.178 -2.740
Ni -1.533 -1.059 -0.913
C 0.000 0.000 0.000
```

(B)
Material: Ni2C
Method: DFT, PBE-GGA
State: optimized geometry

Calculated values
- SG = No. 164

Structure (extended XYZ):
```
9
Lattice="-2.565 -0.797 0.470 1.438 -1.150 -2.011 5.012 -10.475 9.577" Properties=species:S:1:pos:R:3 pbc="T T T"
Ni 4.589 -9.591 8.769
Ni 0.423 -0.884 0.808
Ni 3.784 -8.723 5.848
Ni 0.102 -3.699 2.188
Ni 2.967 -7.016 4.287
Ni 0.918 -5.406 3.750
C 2.506 -5.237 4.788
C 4.372 -9.952 6.972
C -0.487 -2.470 1.065
```

Which is less stable than every other structure shown? (B) is.